A geometry-optimized MgGa2Au structure, computed with PBE-GGA.

a b c (Å): 14.6766 8.1152 5.1231
angles (deg): 90.00 90.00 90.00
Positions (direct):
Mg 0.1070 0.2500 0.2390
Mg 0.1486 0.7500 0.4634
Mg 0.3514 0.2500 0.9634
Mg 0.3930 0.7500 0.7390
Mg 0.6070 0.2500 0.2610
Mg 0.6486 0.7500 0.0366
Mg 0.8514 0.2500 0.5366
Mg 0.8930 0.7500 0.7610
Ga 0.0266 0.0455 0.7355
Ga 0.0266 0.4545 0.7355
Ga 0.2192 0.5440 0.9501
Ga 0.2192 0.9560 0.9501
Ga 0.2808 0.0440 0.4501
Ga 0.2808 0.4560 0.4501
Ga 0.4734 0.5455 0.2355
Ga 0.4734 0.9545 0.2355
Ga 0.5266 0.0455 0.7645
Ga 0.5266 0.4545 0.7645
Ga 0.7192 0.5440 0.5499
Ga 0.7192 0.9560 0.5499
Ga 0.7808 0.0440 0.0499
Ga 0.7808 0.4560 0.0499
Ga 0.9734 0.5455 0.2645
Ga 0.9734 0.9545 0.2645
Au 0.0770 0.7500 0.9609
Au 0.1702 0.2500 0.7343
Au 0.3298 0.7500 0.2343
Au 0.4230 0.2500 0.4609
Au 0.5770 0.7500 0.5391
Au 0.6702 0.2500 0.7657
Au 0.8298 0.7500 0.2657
Au 0.9230 0.2500 0.0391

Output
Space group ... Pnma (62)
DOS(E_F) ... 8.3 states/eV per cell
E_form ... -274.2 meV per atom

A geometry-optimized CaAl2H8 structure, computed with PBE-GGA.

a b c (Å): 8.7909 13.0572 9.4452
angles (deg): 90.00 90.00 90.00
Positions (direct):
Ca 0.2231 0.1056 0.0360
Ca 0.2231 0.3944 0.5360
Ca 0.2769 0.6056 0.0360
Ca 0.2769 0.8944 0.5360
Ca 0.7231 0.1056 0.4640
Ca 0.7231 0.3944 0.9640
Ca 0.7769 0.6056 0.4640
Ca 0.7769 0.8944 0.9640
Al 0.0012 0.5663 0.7700
Al 0.0012 0.9337 0.2700
Al 0.1924 0.6529 0.3917
Al 0.1924 0.8471 0.8917
Al 0.3076 0.1529 0.3917
Al 0.3076 0.3471 0.8917
Al 0.4988 0.0663 0.7700
Al 0.4988 0.4337 0.2700
Al 0.5012 0.5663 0.7300
Al 0.5012 0.9337 0.2300
Al 0.6924 0.6529 0.1083
Al 0.6924 0.8471 0.6083
Al 0.8076 0.1529 0.1083
Al 0.8076 0.3471 0.6083
Al 0.9988 0.0663 0.7300
Al 0.9988 0.4337 0.2300
H 0.0105 0.6538 0.4126
H 0.0105 0.8462 0.9126
H 0.0776 0.5316 0.1526
H 0.0776 0.9684 0.6526
H 0.0846 0.6396 0.8859
H 0.0846 0.8604 0.3859
H 0.1222 0.1345 0.8166
H 0.1222 0.3655 0.3166
H 0.1225 0.5277 0.6510
H 0.1225 0.9723 0.1510
H 0.2255 0.2228 0.5110
H 0.2255 0.2772 0.0110
H 0.2370 0.6919 0.2347
H 0.2370 0.8081 0.7347
H 0.2408 0.0362 0.4064
H 0.2408 0.4638 0.9064
H 0.2592 0.5362 0.4064
H 0.2592 0.9638 0.9064
H 0.2630 0.1919 0.2347
H 0.2630 0.3081 0.7347
H 0.2745 0.7228 0.5110
H 0.2745 0.7772 0.0110
H 0.3775 0.0277 0.6510
H 0.3775 0.4723 0.1510
H 0.3778 0.6345 0.8166
H 0.3778 0.8655 0.3166
H 0.4154 0.1396 0.8859
H 0.4154 0.3604 0.3859
H 0.4224 0.0316 0.1526
H 0.4224 0.4684 0.6526
H 0.4895 0.1538 0.4126
H 0.4895 0.3462 0.9126
H 0.5105 0.6538 0.0874
H 0.5105 0.8462 0.5874
H 0.5776 0.5316 0.3474
H 0.5776 0.9684 0.8474
H 0.5846 0.6396 0.6141
H 0.5846 0.8604 0.1141
H 0.6222 0.1345 0.6834
H 0.6222 0.3655 0.1834
H 0.6225 0.5277 0.8490
H 0.6225 0.9723 0.3490
H 0.7255 0.2228 0.9890
H 0.7255 0.2772 0.4890
H 0.7370 0.6919 0.2653
H 0.7370 0.8081 0.7653
H 0.7408 0.0362 0.0936
H 0.7408 0.4638 0.5936
H 0.7592 0.5362 0.0936
H 0.7592 0.9638 0.5936
H 0.7630 0.1919 0.2653
H 0.7630 0.3081 0.7653
H 0.7745 0.7228 0.9890
H 0.7745 0.7772 0.4890
H 0.8775 0.0277 0.8490
H 0.8775 0.4723 0.3490
H 0.8778 0.6345 0.6834
H 0.8778 0.8655 0.1834
H 0.9154 0.1396 0.6141
H 0.9154 0.3604 0.1141
H 0.9224 0.0316 0.3474
H 0.9224 0.4684 0.8474
H 0.9895 0.1538 0.0874
H 0.9895 0.3462 0.5874

Output
Space group ... Pbca (61)
DOS(E_F) ... 0.0 states/eV per cell
Polymorph energy (0 for the lowest one) ... 0 meV per atom

A geometry-optimized Sr3MnMo structure, computed with PBE-GGA.

a b c (Å): 5.6280 5.6280 5.6280
angles (deg): 90.00 90.00 90.00
Positions (direct):
Sr 0.0000 0.0000 0.5000
Sr 0.0000 0.5000 0.0000
Sr 0.5000 0.0000 0.0000
Mn 0.0000 0.0000 0.0000
Mo 0.5000 0.5000 0.5000

Output
Space group ... Pm-3m (221)
DOS(E_F) ... 11.3 states/eV per cell
E_form ... 1439.7 meV per atom

A geometry-optimized PuAl2Au9 structure, computed with PBE-GGA.

a b c (Å): 8.7941 8.7941 8.7941
angles (deg): 99.34 99.34 132.49
Positions (direct):
Pu 0.3750 0.6250 0.7500
Pu 0.6250 0.3750 0.2500
Al 0.0000 0.0000 0.0000
Al 0.0000 0.0000 0.5000
Al 0.0000 0.5000 0.0000
Al 0.5000 0.0000 0.5000
Au 0.1116 0.5504 0.3176
Au 0.1116 0.7940 0.5612
Au 0.1250 0.8750 0.2500
Au 0.2060 0.2672 0.3176
Au 0.2060 0.8884 0.9388
Au 0.2672 0.2060 0.8176
Au 0.2672 0.4496 0.0612
Au 0.4496 0.2672 0.5612
Au 0.4496 0.8884 0.1824
Au 0.5504 0.1116 0.8176
Au 0.5504 0.7328 0.4388
Au 0.7328 0.5504 0.9388
Au 0.7328 0.7940 0.1824
Au 0.7940 0.1116 0.0612
Au 0.7940 0.7328 0.6824
Au 0.8750 0.1250 0.7500
Au 0.8884 0.2060 0.4388
Au 0.8884 0.4496 0.6824

Output
Space group ... I4_1/amd (141)
DOS(E_F) ... 39.9 states/eV per cell
E_form ... -262.1 meV per atom

A geometry-optimized AlAg5F8 structure, computed with PBE-GGA.

a b c (Å): 7.0983 7.0983 7.0983
angles (deg): 104.46 104.46 120.05
Positions (direct):
Al 0.0000 0.0000 0.0000
Ag 0.1909 0.6243 0.0250
Ag 0.2500 0.7500 0.5000
Ag 0.3757 0.4007 0.5666
Ag 0.5993 0.1659 0.9750
Ag 0.8341 0.8091 0.4334
F 0.2556 0.0885 0.6554
F 0.2900 0.0902 0.1264
F 0.3999 0.7444 0.8329
F 0.4330 0.6001 0.3446
F 0.8365 0.7100 0.8002
F 0.9098 0.0362 0.1998
F 0.9115 0.5670 0.1671
F 0.9638 0.1635 0.8736

Output
Space group ... I-4 (82)
Formation energy (no corrections) ... -1.6310 eV per atom

A geometry-optimized Cs2BaBr structure, computed with PBE-GGA.

a b c (Å): 13.9645 13.9645 13.9645
angles (deg): 19.77 19.77 19.77
Positions (direct):
Cs 0.1100 0.1100 0.1100
Cs 0.8900 0.8900 0.8900
Ba 0.0000 0.0000 0.0000
Br 0.5000 0.5000 0.5000

Output
Space group ... R-3m (166)
Formation energy (no corrections) ... -0.7311 eV per atom
DOS(E_F) ... 2.5 states/eV per cell

A geometry-optimized La2SbF structure, computed with PBE-GGA.

a b c (Å): 8.1587 6.6711 8.3301
angles (deg): 90.00 101.34 90.00
Positions (direct):
La 0.0538 0.1397 0.3348
La 0.0538 0.3603 0.8348
La 0.3444 0.6750 0.5208
La 0.3444 0.8250 0.0208
La 0.6556 0.1750 0.9792
La 0.6556 0.3250 0.4792
La 0.9462 0.6397 0.1652
La 0.9462 0.8603 0.6652
Sb 0.3286 0.1335 0.6702
Sb 0.3286 0.3665 0.1702
Sb 0.6714 0.6335 0.8298
Sb 0.6714 0.8665 0.3298
F 0.2101 0.6558 0.7593
F 0.2101 0.8442 0.2593
F 0.7899 0.1558 0.7407
F 0.7899 0.3442 0.2407

Output
Space group ... P2_1/c (14)
Formation energy (no corrections) ... -1.8947 eV per atom
DOS(E_F) ... 9.8 states/eV per cell
Polymorph energy (0 for the lowest one) ... 0 meV per atom

A geometry-optimized Sc2GaBr structure, computed with PBE-GGA.

a b c (Å): 7.9739 7.9739 7.9739
angles (deg): 136.99 136.99 62.45
Positions (direct):
Sc 0.0986 0.6250 0.9736
Sc 0.3750 0.3486 0.4736
Sc 0.6514 0.1250 0.0264
Sc 0.8750 0.9014 0.5264
Ga 0.0000 0.0000 0.0000
Ga 0.7500 0.2500 0.5000
Br 0.2500 0.7500 0.5000
Br 0.5000 0.5000 0.0000

Output
Space group ... I-42d (122)
Formation energy (no corrections) ... -0.2369 eV per atom
DOS(E_F) ... 2.1 states/eV per cell
Polymorph energy (0 for the lowest one) ... 290 meV per atom

A geometry-optimized AgPd6Pb2 structure, computed with PBE-GGA.

a b c (Å): 8.2006 8.2006 3.0582
angles (deg): 100.64 100.64 56.22
Positions (direct):
Ag 0.0000 0.0000 0.0000
Pd 0.0251 0.6435 0.8349
Pd 0.3044 0.6956 0.5000
Pd 0.3565 0.9749 0.1651
Pd 0.6435 0.0251 0.8349
Pd 0.6956 0.3044 0.5000
Pd 0.9749 0.3565 0.1651
Pb 0.3342 0.3342 0.3350
Pb 0.6658 0.6658 0.6650

Output
Space group ... C2/m (12)
DOS(E_F) ... 3.4 states/eV per cell
Polymorph energy (0 for the lowest one) ... 143 meV per atom
E_form ... -42.5 meV per atom

A geometry-optimized KNaCd2Rh structure, computed with PBE-GGA.

a b c (Å): 5.2750 5.2750 5.4301
angles (deg): 90.00 90.00 90.00
Positions (direct):
K 0.0000 0.0000 0.0000
Na 0.5000 0.5000 0.0000
Cd 0.0000 0.5000 0.5000
Cd 0.5000 0.0000 0.5000
Rh 0.5000 0.5000 0.5000

Output
Space group ... P4/mmm (123)
DOS(E_F) ... 2.3 states/eV per cell
E_form ... 7.5 meV per atom

A geometry-optimized Al2SiH structure, computed with PBE-GGA.

a b c (Å): 6.9868 6.9868 6.9868
angles (deg): 142.05 142.05 54.75
Positions (direct):
Al 0.0323 0.6250 0.9073
Al 0.3750 0.2823 0.4073
Al 0.7177 0.1250 0.0927
Al 0.8750 0.9677 0.5927
Si 0.2500 0.7500 0.5000
Si 0.5000 0.5000 0.0000
H 0.0000 0.0000 0.0000
H 0.7500 0.2500 0.5000

Output
Space group ... I-42d (122)
DOS(E_F) ... 2.7 states/eV per cell
Polymorph energy (0 for the lowest one) ... 79 meV per atom

A geometry-optimized Pm4H2Se5 structure, computed with PBE-GGA.

a b c (Å): 9.8044 9.8044 9.8044
angles (deg): 156.07 134.48 52.06
Positions (direct):
Pm 0.2028 0.2028 0.0000
Pm 0.2292 0.5000 0.7292
Pm 0.7708 0.5000 0.2708
Pm 0.7972 0.7972 0.0000
H 0.0619 0.0619 0.0000
H 0.9381 0.9381 0.0000
Se 0.1002 0.3386 0.7615
Se 0.4229 0.6614 0.7615
Se 0.5000 0.0000 0.5000
Se 0.5771 0.3386 0.2385
Se 0.8998 0.6614 0.2385

Output
Space group ... Immm (71)
Final energy ... -57.75 eV per cell
DOS(E_F) ... 3.0 states/eV per cell

A geometry-optimized NdPN2 structure, computed with PBE-GGA.

a b c (Å): 4.6813 4.6813 6.8629
angles (deg): 109.55 109.55 83.68
Positions (direct):
Nd 0.1493 0.8507 0.7500
Nd 0.8507 0.1493 0.2500
P 0.3480 0.6520 0.2500
P 0.6520 0.3480 0.7500
N 0.0820 0.6664 0.3528
N 0.3336 0.9180 0.1472
N 0.6664 0.0820 0.8528
N 0.9180 0.3336 0.6472

Output
Space group ... C2/c (15)
Formation energy (no corrections) ... -0.9392 eV per atom
Polymorph energy (0 for the lowest one) ... 0 meV per atom

A geometry-optimized LaTlN2 structure, computed with PBE-GGA.

a b c (Å): 4.4484 4.4484 4.4484
angles (deg): 60.00 60.00 60.00
Positions (direct):
La 0.0000 0.0000 0.0000
Tl 0.5000 0.5000 0.5000
N 0.2500 0.2500 0.2500
N 0.7500 0.7500 0.7500

Output
Space group ... Fm-3m (225)
Formation energy (no corrections) ... 0.2682 eV per atom
DOS(E_F) ... 1.7 states/eV per cell
Polymorph energy (0 for the lowest one) ... 493 meV per atom

A geometry-optimized LaTl2Ag structure, computed with PBE-GGA.

a b c (Å): 3.4442 5.0755 6.3848
angles (deg): 90.00 90.45 90.00
Positions (direct):
La 0.0000 0.0000 0.0000
Tl 0.4894 0.5000 0.7578
Tl 0.5056 0.0000 0.4776
Ag 0.5046 0.5000 0.2336

Output
Space group ... Pm (6)
DOS(E_F) ... 2.7 states/eV per cell
E_form ... -153.4 meV per atom

A geometry-optimized AgPd2Pt structure, computed with PBE-GGA.

a b c (Å): 4.5003 4.5003 4.5003
angles (deg): 60.00 60.00 60.00
Positions (direct):
Ag 0.0000 0.0000 0.0000
Pd 0.2500 0.2500 0.2500
Pd 0.7500 0.7500 0.7500
Pt 0.5000 0.5000 0.5000

Output
Space group ... Fm-3m (225)
DOS(E_F) ... 6.0 states/eV per cell
Polymorph energy (0 for the lowest one) ... 111 meV per atom
E_form ... 70.4 meV per atom

A geometry-optimized BaMn3S structure, computed with PBE-GGA.

a b c (Å): 5.2446 5.2446 5.2446
angles (deg): 90.00 90.00 90.00
Positions (direct):
Ba 0.0000 0.0000 0.0000
Mn 0.0000 0.0000 0.5000
Mn 0.0000 0.5000 0.0000
Mn 0.5000 0.0000 0.0000
S 0.5000 0.5000 0.5000

Output
Space group ... Pm-3m (221)
Formation energy (no corrections) ... 2.1250 eV per atom
DOS(E_F) ... 5.1 states/eV per cell
Polymorph energy (0 for the lowest one) ... 1832 meV per atom

A geometry-optimized ZrBRh3 structure, computed with PBE-GGA.

a b c (Å): 6.0061 6.0061 5.0616
angles (deg): 90.00 90.00 128.06
Positions (direct):
Zr 0.0982 0.9018 0.7500
Zr 0.9018 0.0982 0.2500
B 0.3337 0.6663 0.2500
B 0.6663 0.3337 0.7500
Rh 0.0718 0.4309 0.7500
Rh 0.4309 0.0718 0.2500
Rh 0.5000 0.5000 0.0000
Rh 0.5000 0.5000 0.5000
Rh 0.5691 0.9282 0.7500
Rh 0.9282 0.5691 0.2500

Output
Space group ... Cmcm (63)
DOS(E_F) ... 7.7 states/eV per cell
E_form ... -456.2 meV per atom

A geometry-optimized NaPmGdOs structure, computed with PBE-GGA.

a b c (Å): 5.0918 5.0918 5.0918
angles (deg): 60.00 60.00 60.00
Positions (direct):
Na 0.0000 0.0000 0.0000
Pm 0.7500 0.7500 0.7500
Gd 0.2500 0.2500 0.2500
Os 0.5000 0.5000 0.5000

Output
Space group ... F-43m (216)
DOS(E_F) ... 3.1 states/eV per cell
E_form ... 88.0 meV per atom